Entry from the Alexandria database: crystalline SiHgIr at its relaxed geometry (PBE-GGA).

final energy = -4.7934 eV per atom
N(E_F) = 1.17 states/eV/cell
SG = No. 44

The structure in POSCAR format:
```
SiHgIr
1.0
-3.9740 1.5234 -3.4026
-0.0157 0.3593 -5.4370
1.6601 -3.1931 4.0913
Hg Si Ir
1 1 1
Direct
0.9982 0.9982 0.0000
0.7062 0.7062 0.0000
0.2955 0.2955 0.0000
```